Crystalline KSrS2 at its relaxed geometry, computed with PBE-GGA.

CIF file:
```
data_KSrS2
_chemical_formula_sum 'K4 Sr4 S8'
_symmetry_space_group_name_H-M 'F m -3 m'
_symmetry_Int_Tables_number 225
_symmetry_space_group_name_Hall '-F 4 2 3'
_cell_length_a 7.425
_cell_length_b 7.425
_cell_length_c 7.425
_cell_angle_alpha 90.00
_cell_angle_beta 90.00
_cell_angle_gamma 90.00
loop_
_atom_site_label
_atom_site_fract_x
_atom_site_fract_y
_atom_site_fract_z
K1 0.000 0.000 0.000
Sr1 0.000 0.000 0.500
S1 0.250 0.250 0.250
```

Output
Size of the total moment in μB/f.u.: 0.86
Formation energy without anion corrections in eV per atom: -1.1823
E in eV per atom: -3.941